Material: GaFeRhO2
Method: DFT, PBE+U
State: relaxed

Its crystal system is tetragonal. As for the symmetry: P4/mmm (123). The total energy comes out at -5.03 eV/atom.

Cell: 3.708 5.316 3.708 Å, 90.00 90.00 90.00°
Each line ends with the local moment (μB).
Sites, in units of the cell vectors:
O1 0.000 0.000 0.500  0.16
O2 0.500 0.000 0.000  0.15
Rh1 0.500 0.500 0.500  0.59
Fe1 0.000 0.500 0.000  3.62
Ga1 0.000 0.000 0.000  -0.03